# ThNbN3 | Alexandria via LeMat-Bulk | PBE | optimized geometry
data_ThNbN3
_chemical_formula_sum 'Th4 Nb4 N12'
_space_group_name_H-M_alt 'C m c m'
_space_group_IT_number 63
_space_group_name_Hall '-C 2c 2'
_cell_length_a 3.691
_cell_length_b 13.524
_cell_length_c 6.087
_cell_angle_alpha 90.00
_cell_angle_beta 90.00
_cell_angle_gamma 90.00
loop_
_atom_site_label
_atom_site_type_symbol
_atom_site_fract_x
_atom_site_fract_y
_atom_site_fract_z
Th1 Th 0.000 0.176 0.250
Nb1 Nb 0.000 0.430 0.250
N1 N 0.000 0.007 0.750
N2 N 0.000 0.335 0.012
# Uncorrected formation energy (kcal/mol of atoms): -29.76
# Calculated volume (Å³ per cell): 303.9
# Magnetization (μB per formula unit): 0.00